VASP calculation (PBE-GGA) on a geometry-optimized PaAlCo structure.

Geometry as POSCAR:
```
PaAlCo
1.0
3.309 0.000 0.000
0.000 4.328 0.000
0.000 -2.164 3.748
Pa Co Al
1 1 1
Direct
0.667 0.667 0.333 Pa
0.167 0.000 0.000 Co
0.167 0.333 0.667 Al
```

Properties
The space group is P-6m2. The excess energy over the best structure of this formula in the dataset is 4.09 kcal/mol of atoms. For the density of states at the Fermi level, the calculation gives 1.489 states/eV/atom.